(1)
Here is an optimized crystal structure of KFeP2Ir from OQMD. Energies are from PBE.

Unit cell a=3.858 b=3.858 c=12.987 alpha=90.00 beta=90.00 gamma=90.00
Positions (direct):
K 0.000 0.000 0.000
K 0.500 0.500 0.500
Fe 0.000 0.500 0.750
Fe 0.500 0.000 0.250
P 0.000 0.000 0.344
P 0.000 0.000 0.656
P 0.500 0.500 0.156
P 0.500 0.500 0.844
Ir 0.000 0.500 0.250
Ir 0.500 0.000 0.750

Properties
energy	-64.124	eV per cell
SG	No. 119

=====

(2)
Here is an optimized crystal structure of KHoCu from OQMD. Energies are from PBE.

Unit cell a=7.159 b=7.159 c=7.159 alpha=90.00 beta=90.00 gamma=90.00
Positions (direct):
K 0.000 0.000 0.000
K 0.000 0.500 0.500
K 0.500 0.000 0.500
K 0.500 0.500 0.000
Ho 0.000 0.000 0.500
Ho 0.000 0.500 0.000
Ho 0.500 0.000 0.000
Ho 0.500 0.500 0.500
Cu 0.250 0.250 0.750
Cu 0.250 0.750 0.250
Cu 0.750 0.250 0.250
Cu 0.750 0.750 0.750

Properties
energy relative to the lowest polymorph listed for this composition	0.080	eV per atom
SG	No. 216

=====

(3)
Here is an optimized crystal structure of LaNiSbAsPd from OQMD. Energies are from PBE.

Unit cell a=4.368 b=4.368 c=10.627 alpha=90.00 beta=90.00 gamma=90.00
Positions (direct):
La 0.250 0.250 0.213
La 0.750 0.750 0.787
Ni 0.250 0.750 0.000
Ni 0.750 0.250 0.000
Sb 0.250 0.750 0.500
Sb 0.750 0.250 0.500
As 0.250 0.250 0.891
As 0.750 0.750 0.109
Pd 0.250 0.250 0.657
Pd 0.750 0.750 0.343

Properties
energy relative to the lowest polymorph listed for this composition	0.094	eV per atom
SG	No. 129

=====

(4)
Here is an optimized crystal structure of SiW4SN2 from OQMD. Energies are from PBE.

Unit cell a=2.930 b=2.930 c=13.366 alpha=90.00 beta=90.00 gamma=120.00
Positions (direct):
Si 0.000 0.000 0.000
W 0.000 0.000 0.360
W 0.000 0.000 0.640
W 0.667 0.333 0.146
W 0.667 0.333 0.854
S 0.667 0.333 0.500
N 0.333 0.667 0.253
N 0.333 0.667 0.747

Properties
energy	-76.490	eV per cell
SG	No. 187

=====

(5)
Here is an optimized crystal structure of KHoCoTe3 from OQMD. Energies are from PBE.

Unit cell a=10.760 b=4.357 c=15.969 alpha=90.00 beta=90.00 gamma=90.00
Positions (direct):
K 0.040 0.250 0.169
K 0.460 0.750 0.669
K 0.540 0.250 0.331
K 0.960 0.750 0.831
Ho 0.161 0.750 0.447
Ho 0.339 0.250 0.947
Ho 0.661 0.750 0.053
Ho 0.839 0.250 0.553
Co 0.151 0.250 0.625
Co 0.349 0.750 0.125
Co 0.651 0.250 0.875
Co 0.849 0.750 0.375
Te 0.023 0.750 0.616
Te 0.172 0.750 0.015
Te 0.226 0.250 0.774
Te 0.274 0.750 0.274
Te 0.328 0.250 0.515
Te 0.477 0.250 0.116
Te 0.523 0.750 0.884
Te 0.672 0.750 0.485
Te 0.726 0.250 0.726
Te 0.774 0.750 0.226
Te 0.828 0.250 0.985
Te 0.977 0.250 0.384

Properties
energy relative to the lowest polymorph listed for this composition	0.086	eV per atom
SG	No. 62

=====

(6)
Here is an optimized crystal structure of CsNiS2 from OQMD. Energies are from PBE.

Unit cell a=3.703 b=3.703 c=22.488 alpha=90.00 beta=90.00 gamma=120.00
Positions (direct):
Cs 0.000 0.000 0.000
Cs 0.333 0.667 0.667
Cs 0.667 0.333 0.333
Ni 0.000 0.000 0.500
Ni 0.333 0.667 0.167
Ni 0.667 0.333 0.833
S 0.000 0.000 0.215
S 0.000 0.000 0.785
S 0.333 0.667 0.451
S 0.333 0.667 0.882
S 0.667 0.333 0.118
S 0.667 0.333 0.549

Properties
energy relative to the lowest polymorph listed for this composition	0.231	eV per atom
SG	No. 166

=====

(7)
Here is an optimized crystal structure of LiFeOsPb from OQMD. Energies are from PBE.

Unit cell a=6.207 b=6.207 c=6.207 alpha=90.00 beta=90.00 gamma=90.00
Positions (direct):
Li 0.000 0.000 0.000
Li 0.000 0.500 0.500
Li 0.500 0.000 0.500
Li 0.500 0.500 0.000
Fe 0.000 0.000 0.500
Fe 0.000 0.500 0.000
Fe 0.500 0.000 0.000
Fe 0.500 0.500 0.500
Os 0.250 0.250 0.750
Os 0.250 0.750 0.250
Os 0.750 0.250 0.250
Os 0.750 0.750 0.750
Pb 0.250 0.250 0.250
Pb 0.250 0.750 0.750
Pb 0.750 0.250 0.750
Pb 0.750 0.750 0.250

Properties
energy relative to the lowest polymorph listed for this composition	0.000	eV per atom
SG	No. 216

=====

(8)
Here is an optimized crystal structure of CdGeBi2O6 from OQMD. Energies are from PBE.

Unit cell a=10.539 b=10.024 c=5.623 alpha=90.00 beta=90.00 gamma=90.00
Positions (direct):
Cd 0.000 0.111 0.250
Cd 0.000 0.889 0.750
Cd 0.500 0.389 0.750
Cd 0.500 0.611 0.250
Ge 0.000 0.349 0.750
Ge 0.000 0.651 0.250
Ge 0.500 0.151 0.250
Ge 0.500 0.849 0.750
Bi 0.241 0.386 0.215
Bi 0.241 0.614 0.715
Bi 0.259 0.114 0.715
Bi 0.259 0.886 0.215
Bi 0.741 0.114 0.785
Bi 0.741 0.886 0.285
Bi 0.759 0.386 0.285
Bi 0.759 0.614 0.785
O 0.079 0.251 0.534
O 0.079 0.749 0.034
O 0.121 0.448 0.879
O 0.121 0.552 0.379
O 0.148 0.031 0.012
O 0.148 0.969 0.512
O 0.352 0.469 0.512
O 0.352 0.531 0.012
O 0.379 0.052 0.379
O 0.379 0.948 0.879
O 0.421 0.249 0.034
O 0.421 0.751 0.534
O 0.579 0.249 0.466
O 0.579 0.751 0.966
O 0.621 0.052 0.121
O 0.621 0.948 0.621
O 0.648 0.469 0.988
O 0.648 0.531 0.488
O 0.852 0.031 0.488
O 0.852 0.969 0.988
O 0.879 0.448 0.621
O 0.879 0.552 0.121
O 0.921 0.251 0.966
O 0.921 0.749 0.466

Properties
energy	-227.675	eV per cell
SG	No. 60

=====

(9)
Here is an optimized crystal structure of Pr2TlGaPd4 from OQMD. Energies are from PBE.

Unit cell a=4.613 b=4.613 c=9.317 alpha=90.00 beta=90.00 gamma=120.00
Positions (direct):
Pr 0.333 0.667 0.255
Pr 0.667 0.333 0.745
Tl 0.000 0.000 0.000
Ga 0.000 0.000 0.500
Pd 0.333 0.667 0.575
Pd 0.333 0.667 0.911
Pd 0.667 0.333 0.089
Pd 0.667 0.333 0.425

Properties
energy	-41.284	eV per cell
SG	No. 164

=====

(10)
Here is an optimized crystal structure of SrUZn from OQMD. Energies are from PBE.

Unit cell a=7.184 b=7.184 c=7.184 alpha=90.00 beta=90.00 gamma=90.00
Positions (direct):
Sr 0.000 0.000 0.000
Sr 0.000 0.500 0.500
Sr 0.500 0.000 0.500
Sr 0.500 0.500 0.000
U 0.250 0.250 0.250
U 0.250 0.750 0.750
U 0.750 0.250 0.750
U 0.750 0.750 0.250
Zn 0.000 0.000 0.500
Zn 0.000 0.500 0.000
Zn 0.500 0.000 0.000
Zn 0.500 0.500 0.500

Properties
energy	-41.002	eV per cell
SG	No. 216

=====

(11)
Here is an optimized crystal structure of BaNdTa from OQMD. Energies are from PBE.

Unit cell a=7.391 b=7.391 c=7.391 alpha=90.00 beta=90.00 gamma=90.00
Positions (direct):
Ba 0.000 0.000 0.000
Ba 0.000 0.500 0.500
Ba 0.500 0.000 0.500
Ba 0.500 0.500 0.000
Nd 0.250 0.250 0.750
Nd 0.250 0.750 0.250
Nd 0.750 0.250 0.250
Nd 0.750 0.750 0.750
Ta 0.250 0.250 0.250
Ta 0.250 0.750 0.750
Ta 0.750 0.250 0.750
Ta 0.750 0.750 0.250

Properties
energy	-53.398	eV per cell
SG	No. 216

=====

(12)
Here is an optimized crystal structure of LiLaCoBi from OQMD. Energies are from PBE.

Unit cell a=7.016 b=7.016 c=7.016 alpha=90.00 beta=90.00 gamma=90.00
Positions (direct):
Li 0.000 0.000 0.000
Li 0.000 0.500 0.500
Li 0.500 0.000 0.500
Li 0.500 0.500 0.000
La 0.250 0.250 0.250
La 0.250 0.750 0.750
La 0.750 0.250 0.750
La 0.750 0.750 0.250
Co 0.250 0.250 0.750
Co 0.250 0.750 0.250
Co 0.750 0.250 0.250
Co 0.750 0.750 0.750
Bi 0.000 0.000 0.500
Bi 0.000 0.500 0.000
Bi 0.500 0.000 0.000
Bi 0.500 0.500 0.500

Properties
energy relative to the lowest polymorph listed for this composition	0.376	eV per atom
SG	No. 216

=====

(13)
Here is an optimized crystal structure of NaTaOs from OQMD. Energies are from PBE.

Unit cell a=6.192 b=6.192 c=6.192 alpha=90.00 beta=90.00 gamma=90.00
Positions (direct):
Na 0.000 0.000 0.000
Na 0.000 0.500 0.500
Na 0.500 0.000 0.500
Na 0.500 0.500 0.000
Ta 0.000 0.000 0.500
Ta 0.000 0.500 0.000
Ta 0.500 0.000 0.000
Ta 0.500 0.500 0.500
Os 0.250 0.250 0.250
Os 0.250 0.750 0.750
Os 0.750 0.250 0.750
Os 0.750 0.750 0.250

Properties
energy relative to the lowest polymorph listed for this composition	0.000	eV per atom
SG	No. 216

=====

(14)
Here is an optimized crystal structure of TbErTe2 from OQMD. Energies are from PBE.

Unit cell a=7.653 b=7.653 c=4.065 alpha=90.00 beta=90.00 gamma=90.00
Positions (direct):
Tb 0.000 0.500 0.181
Tb 0.500 0.000 0.819
Er 0.000 0.000 0.000
Er 0.500 0.500 0.000
Te 0.217 0.283 0.678
Te 0.283 0.783 0.322
Te 0.717 0.217 0.322
Te 0.783 0.717 0.678

Properties
energy relative to the lowest polymorph listed for this composition	0.188	eV per atom
SG	No. 113

=====

(15)
Here is an optimized crystal structure of InCuTe3Pt from OQMD. Energies are from PBE.

Unit cell a=6.568 b=6.568 c=11.548 alpha=90.00 beta=90.00 gamma=143.73
Positions (direct):
In 0.222 0.778 0.750
In 0.778 0.222 0.250
Cu 0.121 0.879 0.250
Cu 0.879 0.121 0.750
Te 0.138 0.862 0.023
Te 0.138 0.862 0.477
Te 0.479 0.521 0.250
Te 0.521 0.479 0.750
Te 0.862 0.138 0.523
Te 0.862 0.138 0.977
Pt 0.500 0.500 0.000
Pt 0.500 0.500 0.500

Properties
energy	-46.339	eV per cell
SG	No. 63

=====

(16)
Here is an optimized crystal structure of ZrSCl6O from OQMD. Energies are from PBE.

Unit cell a=7.304 b=23.561 c=6.940 alpha=90.00 beta=113.59 gamma=90.00
Positions (direct):
Zr 0.154 0.072 0.010
Zr 0.154 0.428 0.510
Zr 0.846 0.572 0.490
Zr 0.846 0.928 0.990
S 0.331 0.630 0.882
S 0.331 0.870 0.382
S 0.669 0.130 0.618
S 0.669 0.370 0.118
Cl 0.045 0.523 0.298
Cl 0.045 0.977 0.798
Cl 0.165 0.159 0.188
Cl 0.165 0.341 0.688
Cl 0.220 0.657 0.097
Cl 0.220 0.843 0.597
Cl 0.264 0.105 0.750
Cl 0.264 0.395 0.250
Cl 0.340 0.708 0.746
Cl 0.340 0.792 0.246
Cl 0.459 0.032 0.246
Cl 0.459 0.468 0.746
Cl 0.541 0.532 0.254
Cl 0.541 0.968 0.754
Cl 0.660 0.208 0.754
Cl 0.660 0.292 0.254
Cl 0.736 0.605 0.750
Cl 0.736 0.895 0.250
Cl 0.780 0.157 0.403
Cl 0.780 0.343 0.903
Cl 0.835 0.659 0.312
Cl 0.835 0.841 0.812
Cl 0.955 0.023 0.202
Cl 0.955 0.477 0.702
O 0.170 0.597 0.722
O 0.170 0.903 0.222
O 0.830 0.097 0.778
O 0.830 0.403 0.278

Properties
energy	-159.852	eV per cell
SG	No. 14

=====

(17)
Here is an optimized crystal structure of HoTlBi from OQMD. Energies are from PBE.

Unit cell a=7.363 b=7.363 c=7.363 alpha=90.00 beta=90.00 gamma=90.00
Positions (direct):
Ho 0.000 0.000 0.000
Ho 0.000 0.500 0.500
Ho 0.500 0.000 0.500
Ho 0.500 0.500 0.000
Tl 0.250 0.250 0.750
Tl 0.250 0.750 0.250
Tl 0.750 0.250 0.250
Tl 0.750 0.750 0.750
Bi 0.000 0.000 0.500
Bi 0.000 0.500 0.000
Bi 0.500 0.000 0.000
Bi 0.500 0.500 0.500

Properties
energy	-44.256	eV per cell
SG	No. 216

=====

(18)
Here is an optimized crystal structure of Nd2SiNi2Ge from OQMD. Energies are from PBE.

Unit cell a=4.074 b=4.074 c=8.401 alpha=90.00 beta=90.00 gamma=120.00
Positions (direct):
Nd 0.000 0.000 0.247
Nd 0.000 0.000 0.753
Si 0.667 0.333 0.000
Ni 0.333 0.667 0.000
Ni 0.667 0.333 0.500
Ge 0.333 0.667 0.500

Properties
energy	-34.965	eV per cell
SG	No. 187

=====

(19)
Here is an optimized crystal structure of CsCoTeAuS2 from OQMD. Energies are from PBE.

Unit cell a=9.083 b=9.083 c=10.112 alpha=90.00 beta=90.00 gamma=157.76
Positions (direct):
Cs 0.235 0.765 0.750
Cs 0.765 0.235 0.250
Co 0.500 0.500 0.000
Co 0.500 0.500 0.500
Te 0.450 0.550 0.250
Te 0.550 0.450 0.750
Au 0.095 0.905 0.250
Au 0.905 0.095 0.750
S 0.085 0.915 0.019
S 0.085 0.915 0.481
S 0.915 0.085 0.519
S 0.915 0.085 0.981

Properties
energy	-48.930	eV per cell
SG	No. 63

=====

(20)
Here is an optimized crystal structure of ZnCoNiHg from OQMD. Energies are from PBE.

Unit cell a=6.050 b=6.050 c=6.050 alpha=90.00 beta=90.00 gamma=90.00
Positions (direct):
Zn 0.000 0.000 0.000
Zn 0.000 0.500 0.500
Zn 0.500 0.000 0.500
Zn 0.500 0.500 0.000
Co 0.250 0.250 0.250
Co 0.250 0.750 0.750
Co 0.750 0.250 0.750
Co 0.750 0.750 0.250
Ni 0.250 0.250 0.750
Ni 0.250 0.750 0.250
Ni 0.750 0.250 0.250
Ni 0.750 0.750 0.750
Hg 0.000 0.000 0.500
Hg 0.000 0.500 0.000
Hg 0.500 0.000 0.000
Hg 0.500 0.500 0.500

Properties
calculated formation energy	191	meV/atom
energy relative to the lowest polymorph listed for this composition	0.000	eV per atom
SG	No. 216